SrV4O10 | PBE with a Hubbard U | relaxed Values from VASP.

## Properties
- VASP energy: -112.7 eV per cell

Structure (Quantum ESPRESSO input):
```
&SYSTEM
  ibrav = 0, nat = 15, ntyp = 3
/
ATOMIC_SPECIES
O 16.00 O.upf
V 50.94 V.upf
Sr 87.62 Sr.upf
CELL_PARAMETERS angstrom
1.8966 5.8743 -0.0157
-1.8966 5.8743 -0.0157
0.0000 0.4967 9.0975
ATOMIC_POSITIONS angstrom
O 0.0000 3.1491 5.7250
O 0.0000 1.2644 3.7307
O 0.0000 4.7962 3.2875
O 0.0000 9.1034 3.2408
O 0.0000 11.5077 1.4369
O 0.0000 11.0118 5.3551
O 0.0000 2.5430 1.3422
O 0.0000 0.9808 7.6827
O 0.0000 7.4474 5.7431
O 0.0000 9.5120 7.7153
V 0.0000 9.3766 6.0800
V 0.0000 1.1572 5.9843
V 0.0000 11.1122 3.0878
V 0.0000 2.8719 2.9739
Sr 0.0000 6.8509 0.1609
```